[1]
# Nd4SmAl PBE relaxed
data_Nd4SmAl
_cell_length_a 3.638
_cell_length_b 3.638
_cell_length_c 14.526
_cell_angle_alpha 90.00
_cell_angle_beta 90.00
_cell_angle_gamma 90.00
_space_group_name_H-M_alt 'P 4/m m m'
_space_group_IT_number 123
_space_group_name_Hall '-P 4 2'
loop_
_atom_site_label
_atom_site_fract_x
_atom_site_fract_y
_atom_site_fract_z
Nd1 0.000 0.000 0.135
Nd2 0.500 0.500 0.320
Sm1 0.000 0.000 0.500
Al1 0.500 0.500 0.000
# Energy relative to the elements (eV per atom): -0.095
# D(E_F) (states/eV/f.u.): 7.9

***

[2]
# NdSmAlSn PBE relaxed
data_NdSmAlSn
_cell_length_a 4.281
_cell_length_b 4.610
_cell_length_c 11.575
_cell_angle_alpha 90.00
_cell_angle_beta 90.00
_cell_angle_gamma 90.00
_space_group_name_H-M_alt 'A m m 2'
_space_group_IT_number 38
_space_group_name_Hall 'A 2 -2'
loop_
_atom_site_label
_atom_site_fract_x
_atom_site_fract_y
_atom_site_fract_z
Nd1 0.000 0.000 0.000
Sm1 0.500 0.000 0.281
Al1 0.500 0.000 0.560
Sn1 0.000 0.000 0.716
# Energy relative to the elements (eV per atom): -0.610
# D(E_F) (states/eV/f.u.): 3.8

***

[3]
# NdSmAlSn PBE relaxed
data_NdSmAlSn
_cell_length_a 7.593
_cell_length_b 7.593
_cell_length_c 7.593
_cell_angle_alpha 90.00
_cell_angle_beta 90.00
_cell_angle_gamma 90.00
_space_group_name_H-M_alt 'F -4 3 m'
_space_group_IT_number 216
_space_group_name_Hall 'F -4 2 3'
loop_
_atom_site_label
_atom_site_fract_x
_atom_site_fract_y
_atom_site_fract_z
Nd1 0.000 0.000 0.000
Sm1 0.000 0.000 0.500
Al1 0.250 0.250 0.250
Sn1 0.250 0.250 0.750
# Energy relative to the elements (eV per atom): -0.448
# D(E_F) (states/eV/f.u.): 3.1

***

[4]
# NdSmAlTl PBE relaxed
data_NdSmAlTl
_cell_length_a 3.757
_cell_length_b 3.757
_cell_length_c 7.790
_cell_angle_alpha 90.00
_cell_angle_beta 90.00
_cell_angle_gamma 90.00
_space_group_name_H-M_alt 'P 4 m m'
_space_group_IT_number 99
_space_group_name_Hall 'P 4 -2'
loop_
_atom_site_label
_atom_site_fract_x
_atom_site_fract_y
_atom_site_fract_z
Nd1 0.000 0.000 0.000
Sm1 0.000 0.000 0.473
Al1 0.500 0.500 0.241
Tl1 0.500 0.500 0.731
# Energy relative to the elements (eV per atom): -0.367
# D(E_F) (states/eV/f.u.): 2.3

***

[5]
# NdSmAlTl PBE relaxed
data_NdSmAlTl
_cell_length_a 7.608
_cell_length_b 7.608
_cell_length_c 7.608
_cell_angle_alpha 90.00
_cell_angle_beta 90.00
_cell_angle_gamma 90.00
_space_group_name_H-M_alt 'F -4 3 m'
_space_group_IT_number 216
_space_group_name_Hall 'F -4 2 3'
loop_
_atom_site_label
_atom_site_fract_x
_atom_site_fract_y
_atom_site_fract_z
Nd1 0.000 0.000 0.000
Sm1 0.000 0.000 0.500
Al1 0.250 0.250 0.750
Tl1 0.250 0.250 0.250
# Energy relative to the elements (eV per atom): -0.347
# D(E_F) (states/eV/f.u.): 1.6

***

[6]
# NdSmTmAl PBE relaxed
data_NdSmTmAl
_cell_length_a 7.659
_cell_length_b 7.659
_cell_length_c 7.659
_cell_angle_alpha 90.00
_cell_angle_beta 90.00
_cell_angle_gamma 90.00
_space_group_name_H-M_alt 'F -4 3 m'
_space_group_IT_number 216
_space_group_name_Hall 'F -4 2 3'
loop_
_atom_site_label
_atom_site_fract_x
_atom_site_fract_y
_atom_site_fract_z
Nd1 0.000 0.000 0.000
Sm1 0.000 0.000 0.500
Tm1 0.250 0.250 0.750
Al1 0.250 0.250 0.250
# Energy relative to the elements (eV per atom): -0.072
# D(E_F) (states/eV/f.u.): 6.5

***

The records above yield ΔE to the lowest computed polymorph values of 0, 0, 163, 0, 20, 110 meV per atom, respectively.